# 1
# Ga3NiPb | Alexandria | PBE-GGA | optimized geometry
# Energy relative to the elements = 1.187 eV per atom
# Space-group type = Pm-3m, No. 221
# VASP energy = -2.53 eV/atom
# D(E_F) = 5.21 states/eV/cell
data_Ga3NiPb
_chemical_formula_sum 'Ga3 Ni1 Pb1'
_cell_length_a 5.429
_cell_length_b 5.429
_cell_length_c 5.429
_cell_angle_alpha 90.00
_cell_angle_beta 90.00
_cell_angle_gamma 90.00
_space_group_name_H-M_alt 'P 1'
_space_group_IT_number 1
_space_group_name_Hall 'P 1'
loop_
_atom_site_label
_atom_site_fract_x
_atom_site_fract_y
_atom_site_fract_z
_atom_site_occupancy
Ga1 0.000 0.000 0.500 1
Ga2 0.000 0.500 0.000 1
Ga3 0.500 0.000 0.000 1
Ni1 0.500 0.500 0.500 1
Pb1 0.000 0.000 0.000 1

# 2
# CaAgBr3 | Alexandria | PBE-GGA | optimized geometry
# Space-group type = C2/c, No. 15
# VASP energy = -3.32 eV/atom
# D(E_F) = 0.00 states/eV/cell
# Formation energy (no corrections) = -129.8 kJ/mol of atoms
data_CaAgBr3
_chemical_formula_sum 'Ca4 Ag4 Br12'
_cell_length_a 9.526
_cell_length_b 9.526
_cell_length_c 7.515
_cell_angle_alpha 97.16
_cell_angle_beta 97.16
_cell_angle_gamma 86.03
_space_group_name_H-M_alt 'P 1'
_space_group_IT_number 1
_space_group_name_Hall 'P 1'
loop_
_atom_site_label
_atom_site_fract_x
_atom_site_fract_y
_atom_site_fract_z
_atom_site_occupancy
Ca1 0.083 0.917 0.750 1
Ca2 0.252 0.748 0.250 1
Ca3 0.748 0.252 0.750 1
Ca4 0.917 0.083 0.250 1
Ag1 0.302 0.477 0.721 1
Ag2 0.477 0.302 0.221 1
Ag3 0.523 0.698 0.779 1
Ag4 0.698 0.523 0.279 1
Br1 0.029 0.196 0.618 1
Br2 0.116 0.644 0.892 1
Br3 0.196 0.029 0.118 1
Br4 0.275 0.466 0.363 1
Br5 0.356 0.884 0.608 1
Br6 0.466 0.275 0.863 1
Br7 0.534 0.725 0.137 1
Br8 0.644 0.116 0.392 1
Br9 0.725 0.534 0.637 1
Br10 0.804 0.971 0.882 1
Br11 0.884 0.356 0.108 1
Br12 0.971 0.804 0.382 1

# 3
# PmPr4Tm10 | Alexandria | PBE-GGA | optimized geometry
# Energy relative to the elements = 0.361 eV per atom
# Space-group type = I4/m, No. 87
# VASP energy = -4.21 eV/atom
# D(E_F) = 23.37 states/eV/cell
data_PmPr4Tm10
_chemical_formula_sum 'Pm1 Pr4 Tm10'
_cell_length_a 8.672
_cell_length_b 8.672
_cell_length_c 8.672
_cell_angle_alpha 112.04
_cell_angle_beta 112.04
_cell_angle_gamma 104.45
_space_group_name_H-M_alt 'P 1'
_space_group_IT_number 1
_space_group_name_Hall 'P 1'
loop_
_atom_site_label
_atom_site_fract_x
_atom_site_fract_y
_atom_site_fract_z
_atom_site_occupancy
Pm1 0.000 0.000 0.000 1
Pr1 0.069 0.664 0.733 1
Pr2 0.336 0.069 0.405 1
Pr3 0.664 0.931 0.595 1
Pr4 0.931 0.336 0.267 1
Tm1 0.130 0.227 0.676 1
Tm2 0.227 0.551 0.097 1
Tm3 0.250 0.750 0.500 1
Tm4 0.449 0.546 0.676 1
Tm5 0.454 0.130 0.903 1
Tm6 0.546 0.870 0.097 1
Tm7 0.551 0.454 0.324 1
Tm8 0.750 0.250 0.500 1
Tm9 0.773 0.449 0.903 1
Tm10 0.870 0.773 0.324 1

# 4
# PrGa2NiIr | Alexandria | PBE-GGA | optimized geometry
# Energy relative to the elements = -0.605 eV per atom
# Space-group type = I-4m2, No. 119
# VASP energy = -5.70 eV/atom
# D(E_F) = 6.19 states/eV/cell
data_PrGa2NiIr
_chemical_formula_sum 'Pr2 Ga4 Ni2 Ir2'
_cell_length_a 4.159
_cell_length_b 4.159
_cell_length_c 10.538
_cell_angle_alpha 90.00
_cell_angle_beta 90.00
_cell_angle_gamma 90.00
_space_group_name_H-M_alt 'P 1'
_space_group_IT_number 1
_space_group_name_Hall 'P 1'
loop_
_atom_site_label
_atom_site_fract_x
_atom_site_fract_y
_atom_site_fract_z
_atom_site_occupancy
Pr1 0.000 0.000 0.000 1
Pr2 0.500 0.500 0.500 1
Ga1 0.000 0.000 0.375 1
Ga2 0.000 0.000 0.625 1
Ga3 0.500 0.500 0.125 1
Ga4 0.500 0.500 0.875 1
Ni1 0.000 0.500 0.750 1
Ni2 0.500 0.000 0.250 1
Ir1 0.000 0.500 0.250 1
Ir2 0.500 0.000 0.750 1

# 5
# Ac3NiBr3 | Alexandria | PBE-GGA | optimized geometry
# Space-group type = P2_1/m, No. 11
# VASP energy = -4.53 eV/atom
# D(E_F) = 9.59 states/eV/cell
# Formation energy (no corrections) = -118.5 kJ/mol of atoms
data_Ac3NiBr3
_chemical_formula_sum 'Ac6 Ni2 Br6'
_cell_length_a 9.538
_cell_length_b 4.227
_cell_length_c 12.925
_cell_angle_alpha 90.00
_cell_angle_beta 93.54
_cell_angle_gamma 90.00
_space_group_name_H-M_alt 'P 1'
_space_group_IT_number 1
_space_group_name_Hall 'P 1'
loop_
_atom_site_label
_atom_site_fract_x
_atom_site_fract_y
_atom_site_fract_z
_atom_site_occupancy
Ac1 0.083 0.250 0.385 1
Ac2 0.147 0.250 0.858 1
Ac3 0.334 0.750 0.628 1
Ac4 0.666 0.250 0.372 1
Ac5 0.853 0.750 0.142 1
Ac6 0.917 0.750 0.615 1
Ni1 0.129 0.250 0.630 1
Ni2 0.871 0.750 0.370 1
Br1 0.108 0.250 0.115 1
Br2 0.376 0.750 0.377 1
Br3 0.399 0.750 0.878 1
Br4 0.601 0.250 0.122 1
Br5 0.624 0.250 0.623 1
Br6 0.892 0.750 0.885 1

# 6
# Co2AgHPd | Alexandria | PBE-GGA | optimized geometry
# Space-group type = P4/mmm, No. 123
# VASP energy = -4.83 eV/atom
# D(E_F) = 6.27 states/eV/cell
data_Co2AgHPd
_chemical_formula_sum 'Co2 Ag1 H1 Pd1'
_cell_length_a 3.778
_cell_length_b 3.778
_cell_length_c 4.049
_cell_angle_alpha 90.00
_cell_angle_beta 90.00
_cell_angle_gamma 90.00
_space_group_name_H-M_alt 'P 1'
_space_group_IT_number 1
_space_group_name_Hall 'P 1'
loop_
_atom_site_label
_atom_site_fract_x
_atom_site_fract_y
_atom_site_fract_z
_atom_site_occupancy
Co1 0.000 0.500 0.000 1
Co2 0.500 0.000 0.000 1
Ag1 0.000 0.000 0.500 1
H1 0.000 0.000 0.000 1
Pd1 0.500 0.500 0.500 1

# 7
# RbCaMgS2 | Alexandria | PBE-GGA | optimized geometry
# Space-group type = P4/mmm, No. 123
# VASP energy = -3.03 eV/atom
# D(E_F) = 5.72 states/eV/cell
# Formation energy (no corrections) = -45.5 kJ/mol of atoms
data_RbCaMgS2
_chemical_formula_sum 'Rb1 Ca1 Mg1 S2'
_cell_length_a 5.397
_cell_length_b 5.397
_cell_length_c 5.905
_cell_angle_alpha 90.00
_cell_angle_beta 90.00
_cell_angle_gamma 90.00
_space_group_name_H-M_alt 'P 1'
_space_group_IT_number 1
_space_group_name_Hall 'P 1'
loop_
_atom_site_label
_atom_site_fract_x
_atom_site_fract_y
_atom_site_fract_z
_atom_site_occupancy
Rb1 0.000 0.000 0.000 1
Ca1 0.500 0.500 0.500 1
Mg1 0.500 0.500 0.000 1
S1 0.000 0.500 0.500 1
S2 0.500 0.000 0.500 1

# 8
# PaZnOs2 | Alexandria | PBE-GGA | optimized geometry
# Energy relative to the elements = -0.196 eV per atom
# Space-group type = P4/mmm, No. 123
# VASP energy = -8.50 eV/atom
# D(E_F) = 2.21 states/eV/cell
data_PaZnOs2
_chemical_formula_sum 'Pa1 Zn1 Os2'
_cell_length_a 4.249
_cell_length_b 4.249
_cell_length_c 3.765
_cell_angle_alpha 90.00
_cell_angle_beta 90.00
_cell_angle_gamma 90.00
_space_group_name_H-M_alt 'P 1'
_space_group_IT_number 1
_space_group_name_Hall 'P 1'
loop_
_atom_site_label
_atom_site_fract_x
_atom_site_fract_y
_atom_site_fract_z
_atom_site_occupancy
Pa1 0.000 0.000 0.000 1
Zn1 0.500 0.500 0.000 1
Os1 0.000 0.500 0.500 1
Os2 0.500 0.000 0.500 1

# 9
# DyH2Ir | Alexandria | PBE-GGA | optimized geometry
# Space-group type = R-3m, No. 166
# VASP energy = -5.52 eV/atom
# D(E_F) = 0.06 states/eV/cell
data_DyH2Ir
_chemical_formula_sum 'Dy3 H6 Ir3'
_cell_length_a 3.969
_cell_length_b 3.969
_cell_length_c 11.419
_cell_angle_alpha 90.00
_cell_angle_beta 90.00
_cell_angle_gamma 120.00
_space_group_name_H-M_alt 'P 1'
_space_group_IT_number 1
_space_group_name_Hall 'P 1'
loop_
_atom_site_label
_atom_site_fract_x
_atom_site_fract_y
_atom_site_fract_z
_atom_site_occupancy
Dy1 0.000 0.000 0.000 1
Dy2 0.333 0.667 0.667 1
Dy3 0.667 0.333 0.333 1
H1 0.000 0.000 0.353 1
H2 0.000 0.000 0.647 1
H3 0.333 0.667 0.020 1
H4 0.333 0.667 0.314 1
H5 0.667 0.333 0.686 1
H6 0.667 0.333 0.980 1
Ir1 0.000 0.000 0.500 1
Ir2 0.333 0.667 0.167 1
Ir3 0.667 0.333 0.833 1

# 10
# Mg2ZrSn | Alexandria | PBE-GGA | optimized geometry
# Energy relative to the elements = 0.140 eV per atom
# Space-group type = I-42d, No. 122
# VASP energy = -3.80 eV/atom
# D(E_F) = 7.45 states/eV/cell
data_Mg2ZrSn
_chemical_formula_sum 'Mg8 Zr4 Sn4'
_cell_length_a 8.142
_cell_length_b 8.142
_cell_length_c 5.859
_cell_angle_alpha 90.00
_cell_angle_beta 90.00
_cell_angle_gamma 90.00
_space_group_name_H-M_alt 'P 1'
_space_group_IT_number 1
_space_group_name_Hall 'P 1'
loop_
_atom_site_label
_atom_site_fract_x
_atom_site_fract_y
_atom_site_fract_z
_atom_site_occupancy
Mg1 0.229 0.250 0.125 1
Mg2 0.250 0.729 0.375 1
Mg3 0.250 0.771 0.875 1
Mg4 0.271 0.250 0.625 1
Mg5 0.729 0.750 0.625 1
Mg6 0.750 0.229 0.875 1
Mg7 0.750 0.271 0.375 1
Mg8 0.771 0.750 0.125 1
Zr1 0.000 0.000 0.500 1
Zr2 0.000 0.500 0.750 1
Zr3 0.500 0.000 0.250 1
Zr4 0.500 0.500 0.000 1
Sn1 0.000 0.000 0.000 1
Sn2 0.000 0.500 0.250 1
Sn3 0.500 0.000 0.750 1
Sn4 0.500 0.500 0.500 1

# 11
# PmZnGa6 | Alexandria | PBE-GGA | optimized geometry
# Energy relative to the elements = -0.203 eV per atom
# Space-group type = Pmm2, No. 25
# VASP energy = -3.23 eV/atom
# D(E_F) = 3.42 states/eV/cell
data_PmZnGa6
_chemical_formula_sum 'Pm1 Zn1 Ga6'
_cell_length_a 4.760
_cell_length_b 6.794
_cell_length_c 4.811
_cell_angle_alpha 90.00
_cell_angle_beta 90.00
_cell_angle_gamma 90.00
_space_group_name_H-M_alt 'P 1'
_space_group_IT_number 1
_space_group_name_Hall 'P 1'
loop_
_atom_site_label
_atom_site_fract_x
_atom_site_fract_y
_atom_site_fract_z
_atom_site_occupancy
Pm1 0.000 0.000 0.000 1
Zn1 0.500 0.500 0.368 1
Ga1 0.000 0.292 0.505 1
Ga2 0.000 0.500 0.013 1
Ga3 0.000 0.708 0.505 1
Ga4 0.500 0.000 0.455 1
Ga5 0.500 0.294 0.869 1
Ga6 0.500 0.706 0.869 1

# 12
# PdBr2N | Alexandria | PBE-GGA | optimized geometry
# Space-group type = I-42d, No. 122
# VASP energy = -3.00 eV/atom
# D(E_F) = 19.02 states/eV/cell
# Formation energy (no corrections) = 117.5 kJ/mol of atoms
data_PdBr2N
_chemical_formula_sum 'Pd4 Br8 N4'
_cell_length_a 5.346
_cell_length_b 5.346
_cell_length_c 12.187
_cell_angle_alpha 90.00
_cell_angle_beta 90.00
_cell_angle_gamma 90.00
_space_group_name_H-M_alt 'P 1'
_space_group_IT_number 1
_space_group_name_Hall 'P 1'
loop_
_atom_site_label
_atom_site_fract_x
_atom_site_fract_y
_atom_site_fract_z
_atom_site_occupancy
Pd1 0.000 0.000 0.000 1
Pd2 0.000 0.500 0.250 1
Pd3 0.500 0.000 0.750 1
Pd4 0.500 0.500 0.500 1
Br1 0.193 0.250 0.625 1
Br2 0.250 0.693 0.875 1
Br3 0.250 0.807 0.375 1
Br4 0.307 0.250 0.125 1
Br5 0.693 0.750 0.125 1
Br6 0.750 0.193 0.375 1
Br7 0.750 0.307 0.875 1
Br8 0.807 0.750 0.625 1
N1 0.000 0.000 0.500 1
N2 0.000 0.500 0.750 1
N3 0.500 0.000 0.250 1
N4 0.500 0.500 0.000 1